The following is a DFT calculation (GGA-PBE) of crystalline Tm2Ir at its relaxed geometry.

a b c (Å): 4.743 4.743 4.743
angles (deg): 60.00 60.00 60.00
Element x y z (fractional)
Tm1 0.250 0.250 0.250
Tm2 0.750 0.750 0.750
Ir1 0.000 0.000 0.000

Mass density: 11669 kg/m³
Energy of formation: -2.30 eV/f.u.
Total magnetic moment: 0.0 μB per formula unit



The following is a DFT calculation (GGA-PBE) of crystalline Tm3Ir at its relaxed geometry.

a b c (Å): 8.691 8.691 8.691
angles (deg): 96.89 96.89 139.48
Element x y z (fractional)
Tm1 0.000 0.358 0.358
Tm2 0.000 0.642 0.642
Tm3 0.098 0.505 0.000
Tm4 0.158 0.158 0.809
Tm5 0.349 0.349 0.191
Tm6 0.358 0.000 0.358
Tm7 0.495 0.495 0.593
Tm8 0.505 0.098 0.000
Tm9 0.642 0.000 0.642
Tm10 0.651 0.842 0.000
Tm11 0.842 0.651 0.000
Tm12 0.902 0.902 0.407
Ir1 0.209 0.500 0.709
Ir2 0.500 0.209 0.709
Ir3 0.500 0.791 0.291
Ir4 0.791 0.500 0.291

Mass density: 11605 kg/m³
Energy of formation: -2.36 eV/f.u.
Total magnetic moment: 0.0 μB per formula unit



The following is a DFT calculation (GGA-PBE) of crystalline Tm6Ir5 at its relaxed geometry.

a b c (Å): 8.301 8.301 8.301
angles (deg): 146.31 133.20 58.89
Element x y z (fractional)
Tm1 0.082 0.334 0.748
Tm2 0.248 0.000 0.248
Tm3 0.413 0.666 0.748
Tm4 0.587 0.334 0.252
Tm5 0.752 0.000 0.752
Tm6 0.918 0.666 0.252
Ir1 0.168 0.168 0.000
Ir2 0.334 0.834 0.500
Ir3 0.500 0.500 0.000
Ir4 0.666 0.166 0.500
Ir5 0.832 0.832 0.000

Mass density: 14302 kg/m³
Energy of formation: -9.80 eV/f.u.
Total magnetic moment: 0.0 μB per formula unit



The following is a DFT calculation (GGA-PBE) of crystalline Tm3Ir at its relaxed geometry.

a b c (Å): 11.413 11.413 6.184
angles (deg): 90.00 90.00 90.00
Element x y z (fractional)
Tm1 0.034 0.592 0.204
Tm2 0.092 0.966 0.704
Tm3 0.116 0.195 0.027
Tm4 0.116 0.665 0.694
Tm5 0.165 0.884 0.194
Tm6 0.195 0.384 0.473
Tm7 0.305 0.116 0.473
Tm8 0.335 0.616 0.194
Tm9 0.384 0.305 0.027
Tm10 0.384 0.835 0.694
Tm11 0.408 0.534 0.704
Tm12 0.466 0.908 0.204
Tm13 0.534 0.092 0.796
Tm14 0.592 0.466 0.296
Tm15 0.616 0.165 0.306
Tm16 0.616 0.695 0.973
Tm17 0.665 0.384 0.806
Tm18 0.695 0.884 0.527
Tm19 0.805 0.616 0.527
Tm20 0.835 0.116 0.806
Tm21 0.884 0.335 0.306
Tm22 0.884 0.805 0.973
Tm23 0.908 0.034 0.296
Tm24 0.966 0.408 0.796
Ir1 0.053 0.187 0.515
Ir2 0.187 0.447 0.985
Ir3 0.313 0.053 0.985
Ir4 0.447 0.313 0.515
Ir5 0.553 0.687 0.485
Ir6 0.687 0.947 0.015
Ir7 0.813 0.553 0.015
Ir8 0.947 0.813 0.485

Mass density: 11528 kg/m³
Energy of formation: -2.29 eV/f.u.
Total magnetic moment: 0.0 μB per formula unit